No. 1
# HfTc2W

A geometry-optimized HfTc2W structure (PBE, OQMD via LeMat-Bulk).

Calculated values
The space group is Fm-3m. The value obtained for the energy above the most stable polymorph in this dataset is 0.2 meV per atom. The formation energy comes out at -0.35 eV per atom. The crystal system is cubic.

Cell: 4.503 4.503 4.503 Å, 60.00 60.00 60.00°
Fractional coordinates of all 4 atoms:
1 Hf 0.000 0.000 0.000
2 Tc 0.250 0.250 0.250
3 Tc 0.750 0.750 0.750
4 W 0.500 0.500 0.500

=====

No. 2
# HfTc2W

A geometry-optimized HfTc2W structure (PBE, OQMD via LeMat-Bulk).

Calculated values
The space group is Fm-3m. The value obtained for the energy above the most stable polymorph in this dataset is 0.0 meV per atom. The formation energy comes out at -0.35 eV per atom. The crystal system is cubic.

Cell: 4.503 4.503 4.503 Å, 60.00 60.00 60.00°
Fractional coordinates of all 4 atoms:
1 Hf 0.000 0.000 0.000
2 Tc 0.250 0.250 0.250
3 Tc 0.750 0.750 0.750
4 W 0.500 0.500 0.500

=====

No. 3
# YHfTc2

A geometry-optimized YHfTc2 structure (PBE, OQMD via LeMat-Bulk).

Calculated values
The space group is F-43m. The formation energy comes out at 0.17 eV per atom. The crystal system is cubic.

Cell: 4.691 4.691 4.691 Å, 60.00 60.00 60.00°
Fractional coordinates of all 4 atoms:
1 Y 0.000 0.000 0.000
2 Hf 0.250 0.250 0.250
3 Tc 0.500 0.500 0.500
4 Tc 0.750 0.750 0.750

=====

No. 4
# YHf2Tc

A geometry-optimized YHf2Tc structure (PBE, OQMD via LeMat-Bulk).

Calculated values
The space group is F-43m. The formation energy comes out at 0.21 eV per atom. The crystal system is cubic.

Cell: 4.917 4.917 4.917 Å, 60.00 60.00 60.00°
Fractional coordinates of all 4 atoms:
1 Y 0.000 0.000 0.000
2 Hf 0.500 0.500 0.500
3 Hf 0.750 0.750 0.750
4 Tc 0.250 0.250 0.250

=====

No. 5
# HfZn2Tc

A geometry-optimized HfZn2Tc structure (PBE, OQMD via LeMat-Bulk).

Calculated values
The space group is F-43m. The formation energy comes out at 0.01 eV per atom. The crystal system is cubic.

Cell: 4.497 4.497 4.497 Å, 60.00 60.00 60.00°
Fractional coordinates of all 4 atoms:
1 Hf 0.000 0.000 0.000
2 Zn 0.500 0.500 0.500
3 Zn 0.750 0.750 0.750
4 Tc 0.250 0.250 0.250

=====

No. 6
# HfZn4Tc

A geometry-optimized HfZn4Tc structure (PBE, OQMD via LeMat-Bulk).

Calculated values
The space group is F-43m. The formation energy comes out at -0.24 eV per atom. The crystal system is cubic.

Cell: 4.995 4.995 4.995 Å, 60.00 60.00 60.00°
Fractional coordinates of all 6 atoms:
1 Hf 0.000 0.000 0.000
2 Zn 0.376 0.376 0.376
3 Zn 0.376 0.376 0.872
4 Zn 0.376 0.872 0.376
5 Zn 0.872 0.376 0.376
6 Tc 0.750 0.750 0.750

=====

No. 7
# Hf2ZnTc

A geometry-optimized Hf2ZnTc structure (PBE, OQMD via LeMat-Bulk).

Calculated values
The space group is F-43m. The formation energy comes out at -0.01 eV per atom. The crystal system is cubic.

Cell: 4.614 4.614 4.614 Å, 60.00 60.00 60.00°
Fractional coordinates of all 4 atoms:
1 Hf 0.000 0.000 0.000
2 Hf 0.250 0.250 0.250
3 Zn 0.500 0.500 0.500
4 Tc 0.750 0.750 0.750

=====

No. 8
# Hf2ZnTc

A geometry-optimized Hf2ZnTc structure (PBE, OQMD via LeMat-Bulk).

Calculated values
The space group is P4/mmm. The formation energy comes out at -0.42 eV per atom. The crystal system is tetragonal.

Cell: 3.313 3.313 6.492 Å, 90.00 90.00 90.00°
Fractional coordinates of all 4 atoms:
1 Hf 0.000 0.000 0.239
2 Hf 0.000 0.000 0.761
3 Zn 0.500 0.500 0.500
4 Tc 0.500 0.500 0.000

=====

No. 9
# HfZnTc2

A geometry-optimized HfZnTc2 structure (PBE, OQMD via LeMat-Bulk).

Calculated values
The space group is F-43m. The formation energy comes out at -0.03 eV per atom. The crystal system is cubic.

Cell: 4.480 4.480 4.480 Å, 60.00 60.00 60.00°
Fractional coordinates of all 4 atoms:
1 Hf 0.000 0.000 0.000
2 Zn 0.750 0.750 0.750
3 Tc 0.250 0.250 0.250
4 Tc 0.500 0.500 0.500

=====

No. 10
# HfZrTc2

A geometry-optimized HfZrTc2 structure (PBE, OQMD via LeMat-Bulk).

Calculated values
The space group is F-43m. The formation energy comes out at -0.11 eV per atom. The crystal system is cubic.

Cell: 4.611 4.611 4.611 Å, 60.00 60.00 60.00°
Fractional coordinates of all 4 atoms:
1 Hf 0.000 0.000 0.000
2 Zr 0.750 0.750 0.750
3 Tc 0.250 0.250 0.250
4 Tc 0.500 0.500 0.500

=====

No. 11
# Hf2ZrTc

A geometry-optimized Hf2ZrTc structure (PBE, OQMD via LeMat-Bulk).

Calculated values
The space group is F-43m. The formation energy comes out at -0.02 eV per atom. The crystal system is cubic.

Cell: 4.796 4.796 4.796 Å, 60.00 60.00 60.00°
Fractional coordinates of all 4 atoms:
1 Hf 0.000 0.000 0.000
2 Hf 0.250 0.250 0.250
3 Zr 0.750 0.750 0.750
4 Tc 0.500 0.500 0.500

=====

No. 12
# HfZr2Tc

A geometry-optimized HfZr2Tc structure (PBE, OQMD via LeMat-Bulk).

Calculated values
The space group is F-43m. The formation energy comes out at -0.05 eV per atom. The crystal system is cubic.

Cell: 4.803 4.803 4.803 Å, 60.00 60.00 60.00°
Fractional coordinates of all 4 atoms:
1 Hf 0.000 0.000 0.000
2 Zr 0.250 0.250 0.250
3 Zr 0.500 0.500 0.500
4 Tc 0.750 0.750 0.750

=====

No. 13
# HfTe3

A geometry-optimized HfTe3 structure (PBE, OQMD via LeMat-Bulk).

Calculated values
The space group is P2_1/m. The crystal system is monoclinic.

Cell: 5.947 3.916 10.334 Å, 90.00 97.54 90.00°
Fractional coordinates of all 8 atoms:
1 Hf 0.213 0.250 0.334
2 Hf 0.787 0.750 0.666
3 Te 0.067 0.250 0.825
4 Te 0.262 0.750 0.551
5 Te 0.416 0.750 0.170
6 Te 0.584 0.250 0.830
7 Te 0.738 0.250 0.449
8 Te 0.933 0.750 0.175

=====

No. 14
# HfTe3

A geometry-optimized HfTe3 structure (PBE, OQMD via LeMat-Bulk).

Calculated values
The space group is P6_3/m. The crystal system is hexagonal.

Cell: 8.256 8.256 3.874 Å, 90.00 90.00 120.00°
Fractional coordinates of all 8 atoms:
1 Hf 0.333 0.667 0.250
2 Hf 0.667 0.333 0.750
3 Te 0.077 0.382 0.750
4 Te 0.305 0.923 0.750
5 Te 0.382 0.305 0.250
6 Te 0.618 0.695 0.750
7 Te 0.695 0.077 0.250
8 Te 0.923 0.618 0.250

=====

No. 15
# Hf3Te4

A geometry-optimized Hf3Te4 structure (PBE, OQMD via LeMat-Bulk).

Calculated values
The space group is P6_3/m. The value obtained for the energy above the most stable polymorph in this dataset is 0.0 meV per atom. The crystal system is hexagonal.

Cell: 10.965 10.965 3.916 Å, 90.00 90.00 120.00°
Fractional coordinates of all 14 atoms:
1 Hf 0.122 0.491 0.250
2 Hf 0.369 0.878 0.250
3 Hf 0.491 0.369 0.750
4 Hf 0.509 0.631 0.250
5 Hf 0.631 0.122 0.750
6 Hf 0.878 0.509 0.750
7 Te 0.055 0.715 0.250
8 Te 0.285 0.341 0.250
9 Te 0.333 0.667 0.750
10 Te 0.341 0.055 0.750
11 Te 0.659 0.945 0.250
12 Te 0.667 0.333 0.250
13 Te 0.715 0.659 0.750
14 Te 0.945 0.285 0.750

=====

No. 16
# HfThTe

A geometry-optimized HfThTe structure (PBE, OQMD via LeMat-Bulk).

Calculated values
The space group is F-43m. The crystal system is cubic.

Cell: 5.044 5.044 5.044 Å, 60.00 60.00 60.00°
Fractional coordinates of all 3 atoms:
1 Hf 0.000 0.000 0.000
2 Th 0.500 0.500 0.500
3 Te 0.250 0.250 0.250

=====

No. 17
# Hf3TlTe5

A geometry-optimized Hf3TlTe5 structure (PBE, OQMD via LeMat-Bulk).

Calculated values
The space group is P6/mmm. The crystal system is hexagonal.

Cell: 6.293 6.293 8.321 Å, 90.00 90.00 120.00°
Fractional coordinates of all 9 atoms:
1 Hf 0.000 0.500 0.000
2 Hf 0.500 0.000 0.000
3 Hf 0.500 0.500 0.000
4 Tl 0.000 0.000 0.500
5 Te 0.000 0.000 0.000
6 Te 0.333 0.667 0.270
7 Te 0.333 0.667 0.730
8 Te 0.667 0.333 0.270
9 Te 0.667 0.333 0.730

=====

No. 18
# HfTeW2

A geometry-optimized HfTeW2 structure (PBE, OQMD via LeMat-Bulk).

Calculated values
The space group is F-43m. The crystal system is cubic.

Cell: 4.732 4.732 4.732 Å, 60.00 60.00 60.00°
Fractional coordinates of all 4 atoms:
1 Hf 0.000 0.000 0.000
2 Te 0.750 0.750 0.750
3 W 0.250 0.250 0.250
4 W 0.500 0.500 0.500

=====

No. 19
# HfTe2W

A geometry-optimized HfTe2W structure (PBE, OQMD via LeMat-Bulk).

Calculated values
The space group is F-43m. The crystal system is cubic.

Cell: 4.977 4.977 4.977 Å, 60.00 60.00 60.00°
Fractional coordinates of all 4 atoms:
1 Hf 0.000 0.000 0.000
2 Te 0.250 0.250 0.250
3 Te 0.500 0.500 0.500
4 W 0.750 0.750 0.750

=====

No. 20
# YHf2Te

A geometry-optimized YHf2Te structure (PBE, OQMD via LeMat-Bulk).

Calculated values
The space group is F-43m. The crystal system is cubic.

Cell: 5.144 5.144 5.144 Å, 60.00 60.00 60.00°
Fractional coordinates of all 4 atoms:
1 Y 0.000 0.000 0.000
2 Hf 0.250 0.250 0.250
3 Hf 0.500 0.500 0.500
4 Te 0.750 0.750 0.750

=====

Computed values of uncorrected energy (unit: eV/atom) for the preceding records, in sequence: -11.2560; -11.2562; -9.1107; -8.9763; -5.7060; -4.4657; -7.8957; -8.2999; -8.0136; -9.9125; -9.7289; -9.3999; -5.4654; -5.3416; -6.8328; -6.7867; -5.9405; -9.1793; -6.6427; -7.2952.